Entry from Alexandria: crystalline Ce2HoSi3Ir4 at its relaxed geometry (PBE).

Cell: 4.117 4.117 11.044 Å, 90.00 90.00 90.00°
Atoms (fractional coordinates):
Ho: 0.500 0.500 0.500
Si: 0.000 0.500 0.118
Ir: 0.000 0.000 0.000
Ir: 0.000 0.500 0.335
Ce: 0.500 0.000 0.233
Si: 0.000 0.000 0.500
Ce: 0.000 0.500 0.767
Si: 0.500 0.000 0.882
Ir: 0.500 0.000 0.665
Ir: 0.500 0.500 0.000

The calculation puts the raw formation energy at -0.947 eV per atom. The value obtained for the energy is -7.7624 eV/atom.


Entry from Alexandria: crystalline Ce2Ho2SiIr4 at its relaxed geometry (PBE).

Cell: 6.431 6.431 6.431 Å, 88.29 120.99 120.99°
Atoms (fractional coordinates):
Ho: 0.500 0.750 0.250
Ho: 0.500 0.250 0.750
Ir: 0.479 0.740 0.740
Ce: 0.000 0.694 0.694
Ir: 0.521 0.260 0.260
Si: 0.000 0.000 0.000
Ir: 0.000 0.740 0.260
Ir: 0.000 0.260 0.740
Ce: 0.000 0.306 0.306

The calculation puts the raw formation energy at -0.440 eV per atom. The value obtained for the energy is -7.3171 eV/atom.


Entry from Alexandria: crystalline CeHoTcIr at its relaxed geometry (PBE).

Cell: 4.868 4.868 4.868 Å, 60.00 60.00 60.00°
Atoms (fractional coordinates):
Ho: 0.750 0.750 0.750
Ir: 0.000 0.000 0.000
Ce: 0.250 0.250 0.250
Tc: 0.500 0.500 0.500

The calculation puts the calculated formation energy at -0.387 eV/atom. The value obtained for the energy is -7.8214 eV/atom.


Entry from Alexandria: crystalline CeHoTlIr at its relaxed geometry (PBE).

Cell: 5.150 5.150 5.150 Å, 60.00 60.00 60.00°
Atoms (fractional coordinates):
Ce: 0.250 0.250 0.250
Ir: 0.000 0.000 0.000
Tl: 0.500 0.500 0.500
Ho: 0.750 0.750 0.750

The calculation puts the calculated formation energy at -0.374 eV/atom. The value obtained for the energy is -5.8085 eV/atom.


Entry from Alexandria: crystalline CeHoTlIr at its relaxed geometry (PBE).

Cell: 3.452 3.452 8.208 Å, 90.00 90.00 90.00°
Atoms (fractional coordinates):
Ho: 0.500 0.500 0.364
Ir: 0.000 0.000 0.564
Tl: 0.000 0.000 0.078
Ce: 0.500 0.500 0.778

The calculation puts the calculated formation energy at -0.562 eV/atom. The value obtained for the energy is -5.9963 eV/atom.


Entry from Alexandria: crystalline CeHoZnIr at its relaxed geometry (PBE).

Cell: 4.971 4.971 4.971 Å, 60.00 60.00 60.00°
Atoms (fractional coordinates):
Ce: 0.250 0.250 0.250
Zn: 0.000 0.000 0.000
Ir: 0.500 0.500 0.500
Ho: 0.750 0.750 0.750

The calculation puts the calculated formation energy at -0.527 eV/atom. The value obtained for the energy is -5.6888 eV/atom.